A relaxed structure of Sr3GaCu. Source: the Alexandria database, functional PBEsol.

Cell: 5.9751 5.9751 5.9751 Å, 90.00 90.00 90.00°
Last column: nearest neighbours and their distance in Å.
Space group Pm-3m (No. 221)
One atom of each set of equivalent atoms:
1 Sr 0.0000 0.0000 0.5000 x3  2 Ga 2.99
2 Ga 0.0000 0.0000 0.0000 x1  6 Sr 2.99
3 Cu 0.5000 0.5000 0.5000 x1  12 Sr 4.23

Results
Formation enthalpy at 0 K (eV/atom): 0.3119

=====

A relaxed structure of Mg3HRh. Source: the Alexandria database, functional PBEsol.

Cell: 4.1102 4.1102 4.1102 Å, 90.00 90.00 90.00°
Last column: nearest neighbours and their distance in Å.
Space group Pm-3m (No. 221)
One atom of each set of equivalent atoms:
1 Mg 0.0000 0.0000 0.5000 x3  2 H 2.06
2 H 0.0000 0.0000 0.0000 x1  6 Mg 2.06
3 Rh 0.5000 0.5000 0.5000 x1  12 Mg 2.91

Results
Electronic total energy (eV/atom): -3.517

=====

A relaxed structure of SrLaTe. Source: the Alexandria database, functional PBEsol.

Cell: 7.5315 7.5315 7.5315 Å, 90.00 90.00 90.00°
Last column: nearest neighbours and their distance in Å.
Space group F-43m (No. 216)
One atom of each set of equivalent atoms:
1 Sr 0.0000 0.0000 0.0000 x4  4 Te 3.26
2 La 0.0000 0.0000 0.5000 x4  4 Te 3.26
3 Te 0.2500 0.2500 0.7500 x4  4 Sr 3.26, 4 La 3.26

Results
Electronic total energy (eV/atom): -4.289

=====

A relaxed structure of Co5As. Source: the Alexandria database, functional PBEsol.

Cell: 4.5117 4.5117 4.1445 Å, 90.00 90.00 120.00°
Last column: nearest neighbours and their distance in Å.
Space group P6/mmm (No. 191)
One atom of each set of equivalent atoms:
1 Co 0.0000 0.5000 0.0000 x3  8 Co 2.26-2.45
2 Co 0.3333 0.6667 0.5000 x2  9 Co 2.45-2.60, 3 As 2.60
3 As 0.0000 0.0000 0.5000 x1  6 Co 2.60

Results
Formation enthalpy at 0 K (eV/atom): 0.3902

=====

A relaxed structure of As2RhAu. Source: the Alexandria database, functional PBEsol.

Cell: 4.3986 4.3986 3.3397 Å, 90.00 90.00 90.00°
Last column: nearest neighbours and their distance in Å.
Space group P4/mmm (No. 123)
One atom of each set of equivalent atoms:
1 As 0.0000 0.5000 0.0000 x2  4 Au 2.76, 4 Rh 2.76
2 Rh 0.0000 0.0000 0.5000 x1  8 As 2.76
3 Au 0.5000 0.5000 0.5000 x1  8 As 2.76

Results
Formation enthalpy at 0 K (eV/atom): 0.0810

=====

A relaxed structure of AlAsF2. Source: the Alexandria database, functional PBEsol.

Cell: 6.0190 6.0190 6.0190 Å, 90.00 90.00 90.00°
Last column: nearest neighbours and their distance in Å.
Space group Fm-3m (No. 225)
One atom of each set of equivalent atoms:
1 Al 0.0000 0.0000 0.0000 x4  8 F 2.61
2 As 0.0000 0.0000 0.5000 x4  8 F 2.61
3 F 0.2500 0.2500 0.2500 x8  4 As 2.61, 4 Al 2.61

Results
Electronic total energy (eV/atom): -3.892

=====

| no. | density of states at the Fermi level (states/eV per cell) | total magnetic moment (μB/f.u.) |
| --- | --- | --- |
| 1 | 4.5 | 0.000 |
| 2 | 1.5 | 0.000 |
| 3 | 13.9 | 0.004 |
| 4 | 9.5 | 7.740 |
| 5 | 2.5 | 0.000 |
| 6 | 16.2 | 0.009 |